1.
A plane-wave DFT calculation with PBE was carried out for a geometry-optimized Dy3Co2Ge4 structure.

a b c (Å): 5.7149 5.7149 8.0212
angles (deg): 106.53 106.53 42.75
Last column: nearest neighbours and their distance in Å.
Sites, in units of the cell vectors:
Ge: 0.9027 0.9027 0.6002  3 Co 2.35-2.43
Ge: 0.7095 0.7095 0.0803  1 Co 2.40
Ge: 0.2905 0.2905 0.9197  1 Co 2.40
Ge: 0.0973 0.0973 0.3998  3 Co 2.35-2.43
Dy: 0.0000 0.0000 0.0000  6 Ge 2.97-3.05
Dy: 0.3764 0.3764 0.3075  3 Co 2.88-3.02, 7 Ge 2.96-3.09
Dy: 0.6236 0.6236 0.6925  3 Co 2.88-3.02, 7 Ge 2.96-3.09
Co: 0.6912 0.6912 0.3709  4 Ge 2.35-2.43
Co: 0.3088 0.3088 0.6291  4 Ge 2.35-2.43

Calculated values
Space group ... No. 12
Magnetization ... 0.0 μB/cell

---

2.
A plane-wave DFT calculation with PBE was carried out for a geometry-optimized Hg2Os2O5 structure.

a b c (Å): 9.7618 3.7354 3.7354
angles (deg): 90.00 90.00 90.00
Last column: nearest neighbours and their distance in Å.
Sites, in units of the cell vectors:
Hg: 0.0000 0.0000 0.0000  8 O 3.18
Hg: 0.5000 0.0000 0.0000  4 O 2.64
O: 0.2639 0.0000 0.5000  2 Os 1.87
O: 0.7361 0.5000 0.0000  2 Os 1.87
O: 0.5000 0.5000 0.5000  2 Os 2.24
O: 0.2639 0.5000 0.0000  2 Os 1.87
O: 0.7361 0.0000 0.5000  2 Os 1.87
Os: 0.2704 0.5000 0.5000  4 O 1.87
Os: 0.7296 0.5000 0.5000  4 O 1.87

Calculated values
Space group ... No. 123
Distance to the lowest polymorph of the same formula ... 0.000 eV per atom
Magnetization ... 0.0 μB/cell

---

3.
A plane-wave DFT calculation with PBE was carried out for a geometry-optimized KRbAgSb structure.

a b c (Å): 6.7228 6.4620 7.0049
angles (deg): 90.00 104.45 90.00
Last column: nearest neighbours and their distance in Å.
Sites, in units of the cell vectors:
Ag: 0.0000 0.5000 0.0000  2 Sb 2.72
Ag: 0.0000 0.0000 0.0000  2 Sb 2.72
Sb: 0.2499 0.2500 0.2696  2 Ag 2.72
Sb: 0.7501 0.7500 0.7304  2 Ag 2.72
K: 0.1792 0.7500 0.5125  4 Sb 3.58-3.76, 1 Rb 3.73, 2 Ag 3.85, 2 K 4.01
K: 0.8208 0.2500 0.4875  4 Sb 3.58-3.76, 1 Rb 3.73, 2 Ag 3.85, 2 K 4.01
Rb: 0.4707 0.2500 0.8243  3 K 3.73-4.11, 4 Sb 3.77-3.88, 4 Ag 3.82-4.01, 2 Rb 4.02
Rb: 0.5293 0.7500 0.1757  3 K 3.73-4.11, 4 Sb 3.77-3.88, 4 Ag 3.82-4.01, 2 Rb 4.02

Calculated values
Space group ... No. 11
Distance to the lowest polymorph of the same formula ... 0.000 eV per atom

---

4.
A plane-wave DFT calculation with PBE was carried out for a geometry-optimized Pr3Mg3Tl2Ga structure.

a b c (Å): 7.7537 7.7537 4.6739
angles (deg): 90.00 90.00 120.00
Last column: nearest neighbours and their distance in Å.
Sites, in units of the cell vectors:
Tl: 0.6667 0.3333 0.5000  3 Mg 3.04, 6 Pr 3.31
Tl: 0.3333 0.6667 0.5000  3 Mg 3.04, 6 Pr 3.31
Pr: 0.0000 0.5889 0.0000  1 Ga 3.19, 4 Tl 3.31
Pr: 0.5889 0.0000 0.0000  1 Ga 3.19, 4 Tl 3.31
Pr: 0.4111 0.4111 0.0000  1 Ga 3.19, 4 Tl 3.31
Ga: 0.0000 0.0000 0.0000  6 Mg 2.97, 3 Pr 3.19
Mg: 0.7645 0.7645 0.5000  2 Ga 2.97, 2 Tl 3.04, 2 Mg 3.16
Mg: 0.2355 0.0000 0.5000  2 Ga 2.97, 2 Tl 3.04, 2 Mg 3.16
Mg: 0.0000 0.2355 0.5000  2 Ga 2.97, 2 Tl 3.04, 2 Mg 3.16

Calculated values
Space group ... No. 189
Magnetization ... 0.0 μB/cell

---

5.
A plane-wave DFT calculation with PBE was carried out for a geometry-optimized Ag3GeS4 structure.

a b c (Å): 6.9217 6.9217 6.9217
angles (deg): 131.30 131.30 71.34
Last column: nearest neighbours and their distance in Å.
Sites, in units of the cell vectors:
S: 0.3440 0.3440 0.4562  1 Ge 2.26, 2 Ag 2.53
S: 0.6560 0.1122 0.0000  1 Ge 2.26, 2 Ag 2.53
S: 0.1122 0.6560 0.0000  1 Ge 2.26, 2 Ag 2.53
S: 0.8878 0.8878 0.5438  1 Ge 2.26, 2 Ag 2.53
Ag: 0.2500 0.7500 0.5000  4 S 2.53
Ag: 0.7500 0.2500 0.5000  4 S 2.53
Ag: 0.5000 0.5000 0.0000  4 S 2.55
Ge: 0.0000 0.0000 0.0000  4 S 2.26

Calculated values
Space group ... No. 121

---

6.
A plane-wave DFT calculation with PBE was carried out for a geometry-optimized Sc2CdPd2 structure.

a b c (Å): 7.2346 7.2346 7.2346
angles (deg): 148.64 148.64 44.94
Last column: nearest neighbours and their distance in Å.
Sites, in units of the cell vectors:
Sc: 0.6146 0.6146 0.0000  4 Pd 2.66
Sc: 0.3854 0.3854 0.0000  4 Pd 2.66
Cd: 0.0000 0.0000 0.0000  8 Sc 3.16
Pd: 0.2500 0.7500 0.5000  4 Sc 2.66, 4 Pd 2.77
Pd: 0.7500 0.2500 0.5000  4 Sc 2.66, 4 Pd 2.77

Calculated values
Space group ... No. 139
Energy of formation ... -0.455 eV per atom
Magnetization ... 0.0 μB/cell

---

no.,DFT total energy (eV/atom)
1,-5.89
2,-5.67
3,-2.66
4,-3.36
5,-3.87
6,-5.24